Compound: Li3Tl4
Source: Alexandria via LeMat-Bulk
Functional: PBE
Structure: optimized geometry

```
data_Li3Tl4
_cell_length_a 8.645
_cell_length_b 8.645
_cell_length_c 8.645
_cell_angle_alpha 90.00
_cell_angle_beta 90.00
_cell_angle_gamma 90.00
_symmetry_space_group_name_H-M 'I -4 3 d'
_symmetry_Int_Tables_number 220
_symmetry_space_group_name_Hall 'I -4bd 2c 3'
loop_
_atom_site_label
_atom_site_fract_x
_atom_site_fract_y
_atom_site_fract_z
Li1 0.000 0.250 0.875
Tl1 0.076 0.424 0.576
```

Results
The distance to the lowest polymorph of the same formula is 0.005 eV per atom. The total magnetization comes out at 0.00 μB per formula unit.